The following is a DFT calculation (PBE) of a relaxed BaLi2Pb crystal.

POSCAR file:
```
BaLi2Pb
1.0
-4.6223 1.4388 2.7548
-3.0955 -2.6972 -3.7641
4.1143 -2.6591 2.6508
Pb Li Ba
1 2 1
direct
0.5000 0.5000 0.0000 Pb
0.2500 0.7500 0.5000 Li
0.0000 0.0000 0.0000 Li
0.7500 0.2500 0.5000 Ba
```

As for the total energy: -2.621 eV per atom. Its symmetry is No. 119. The calculation puts the total moment at 0.00 Bohr magnetons per cell. As for the crystal system: tetragonal.